(1)
# PmAlPb

A relaxed structure of PmAlPb (PBE, Alexandria).

Values from the calculation:
Theoretical density = 6.93 g/cm³
V = 30.29 Å³ per atom
Space-group type = I4mm, No. 107
Energy above the most stable polymorph in this dataset = 725.3 meV per atom
Total magnetization = 0.00 μB/atom
E = -3.672 eV per atom
Crystal system = tetragonal
Calculated formation energy = 0.395 eV/atom

Structure (POSCAR):
```
PmAlPb
1.0
-1.623 1.623 8.622
1.623 -1.623 8.622
1.623 1.623 -8.622
Pm Al Pb
1 1 1
Cartesian
0.000 0.000 0.000 Pm
0.000 0.000 14.166 Al
0.000 0.000 3.271 Pb
```

(2)
# Pm2Al2Pb

A relaxed structure of Pm2Al2Pb (PBE, Alexandria).

Values from the calculation:
Theoretical density = 6.70 g/cm³
V = 27.33 Å³ per atom
Space-group type = I4/mmm, No. 139
Total magnetization = 0.00 μB/atom
E = -4.349 eV per atom
Crystal system = tetragonal
Calculated formation energy = -0.210 eV/atom

Structure (POSCAR):
```
Pm2Al2Pb
1.0
-1.890 1.890 9.562
1.890 -1.890 9.562
1.890 1.890 -9.562
Pm Al Pb
2 2 1
Cartesian
0.000 0.000 2.112 Pm
0.000 0.000 17.012 Pm
1.890 0.000 4.781 Al
0.000 1.890 4.781 Al
0.000 0.000 9.562 Pb
```

(3)
# PmAlPb

A relaxed structure of PmAlPb (PBE, Alexandria).

Values from the calculation:
Theoretical density = 7.82 g/cm³
V = 26.84 Å³ per atom
Space-group type = P3m1, No. 156
Energy above the most stable polymorph in this dataset = 0.0 meV per atom
Total magnetization = 0.00 μB/atom
E = -4.398 eV per atom
Crystal system = trigonal
Calculated formation energy = -0.331 eV/atom

Structure (POSCAR):
```
PmAlPb
1.0
4.573 0.000 0.000
-2.286 3.960 0.000
0.000 0.000 4.446
Pm Al Pb
1 1 1
Cartesian
0.000 0.000 0.000 Pm
0.000 2.640 2.811 Al
2.286 1.320 1.923 Pb
```

(4)
# PmAlPb2

A relaxed structure of PmAlPb2 (PBE, Alexandria).

Values from the calculation:
Theoretical density = 8.14 g/cm³
V = 29.91 Å³ per atom
Space-group type = R-3m, No. 166
Total magnetization = 0.00 μB/atom
E = -3.807 eV per atom
Crystal system = trigonal
Calculated formation energy = 0.170 eV/atom

Structure (POSCAR):
```
PmAlPb2
1.0
1.775 1.025 10.964
-1.775 1.025 10.964
0.000 -2.049 10.964
Pm Al Pb
1 1 2
Cartesian
0.000 0.000 0.000 Pm
0.000 0.000 16.446 Al
0.000 0.000 3.220 Pb
0.000 0.000 29.671 Pb
```

(5)
# PmAlPb

A relaxed structure of PmAlPb (PBE, Alexandria).

Values from the calculation:
Theoretical density = 6.91 g/cm³
V = 30.38 Å³ per atom
Space-group type = R-3m, No. 166
Energy above the most stable polymorph in this dataset = 250.6 meV per atom
Total magnetization = 0.00 μB/atom
E = -4.147 eV per atom
Crystal system = trigonal
Calculated formation energy = -0.080 eV/atom

Structure (POSCAR):
```
PmAlPb
1.0
2.250 1.299 10.390
-2.250 1.299 10.390
0.000 -2.598 10.390
Pm Al Pb
2 2 2
Cartesian
0.000 0.000 2.684 Pm
0.000 0.000 28.487 Pm
0.000 0.000 5.755 Al
0.000 0.000 25.417 Al
0.000 0.000 11.151 Pb
0.000 0.000 20.020 Pb
```

(6)
# Pm5AlPb4

A relaxed structure of Pm5AlPb4 (PBE, Alexandria).

Values from the calculation:
Theoretical density = 9.12 g/cm³
V = 28.79 Å³ per atom
Space-group type = P4/mmm, No. 123
Total magnetization = 0.00 μB/atom
E = -4.702 eV per atom
Crystal system = tetragonal
Calculated formation energy = -0.469 eV/atom

Structure (POSCAR):
```
Pm5AlPb4
1.0
3.554 0.000 0.000
0.000 3.554 0.000
0.000 0.000 22.792
Pm Al Pb
5 1 4
Cartesian
0.000 0.000 0.000 Pm
0.000 0.000 4.664 Pm
0.000 0.000 9.365 Pm
0.000 0.000 13.426 Pm
0.000 0.000 18.128 Pm
1.777 1.777 11.396 Al
1.777 1.777 2.328 Pb
1.777 1.777 6.975 Pb
1.777 1.777 15.817 Pb
1.777 1.777 20.464 Pb
```

(7)
# Pm6Al2Pb

A relaxed structure of Pm6Al2Pb (PBE, Alexandria).

Values from the calculation:
Theoretical density = 6.82 g/cm³
V = 30.60 Å³ per atom
Space-group type = Immm, No. 71
Total magnetization = 0.00 μB/atom
E = -4.706 eV per atom
Crystal system = orthorhombic
Calculated formation energy = -0.295 eV/atom

Structure (POSCAR):
```
Pm6Al2Pb
1.0
-4.944 5.008 5.562
4.944 -5.008 5.562
4.944 5.008 -5.562
Pm Al Pb
12 4 2
Cartesian
4.944 -2.927 3.567 Pm
2.925 0.000 2.647 Pm
6.964 0.000 2.647 Pm
3.066 2.819 0.000 Pm
6.823 2.819 0.000 Pm
0.000 2.081 1.995 Pm
4.944 2.927 3.567 Pm
-1.879 2.190 5.562 Pm
1.879 2.190 5.562 Pm
-2.019 5.008 2.915 Pm
2.019 5.008 2.915 Pm
0.000 7.935 1.995 Pm
1.365 0.000 0.000 Al
8.524 0.000 0.000 Al
0.000 0.000 4.243 Al
0.000 0.000 6.881 Al
4.944 0.000 0.000 Pb
0.000 5.008 0.000 Pb
```

(8)
# Pm2AlPb

A relaxed structure of Pm2AlPb (PBE, Alexandria).

Values from the calculation:
Theoretical density = 7.88 g/cm³
V = 27.63 Å³ per atom
Space-group type = P4/mmm, No. 123
Total magnetization = 0.00 μB/atom
E = -4.657 eV per atom
Crystal system = tetragonal
Calculated formation energy = -0.419 eV/atom

Structure (POSCAR):
```
Pm2AlPb
1.0
3.529 0.000 0.000
0.000 3.529 0.000
0.000 0.000 8.872
Pm Al Pb
2 1 1
Cartesian
0.000 0.000 2.055 Pm
0.000 0.000 6.818 Pm
1.765 1.765 0.000 Al
1.765 1.765 4.436 Pb
```

(9)
# Pm3AlPb

A relaxed structure of Pm3AlPb (PBE, Alexandria).

Values from the calculation:
Theoretical density = 7.57 g/cm³
V = 29.35 Å³ per atom
Space-group type = Pm-3m, No. 221
Total magnetization = 0.29 μB/atom
E = -4.633 eV per atom
Crystal system = cubic
Calculated formation energy = -0.292 eV/atom

Structure (POSCAR):
```
Pm3AlPb
1.0
7.607 0.000 0.000
0.000 7.607 0.000
0.000 0.000 7.607
Pm Al Pb
9 3 3
Cartesian
0.000 0.000 0.000 Pm
2.037 2.037 2.037 Pm
2.037 2.037 5.571 Pm
2.037 5.571 2.037 Pm
2.037 5.571 5.571 Pm
5.571 2.037 2.037 Pm
5.571 2.037 5.571 Pm
5.571 5.571 2.037 Pm
5.571 5.571 5.571 Pm
0.000 3.804 3.804 Al
3.804 0.000 3.804 Al
3.804 3.804 0.000 Al
0.000 0.000 3.804 Pb
0.000 3.804 0.000 Pb
3.804 0.000 0.000 Pb
```

(10)
# Pm6AlPb

A relaxed structure of Pm6AlPb (PBE, Alexandria).

Values from the calculation:
Theoretical density = 7.70 g/cm³
V = 29.76 Å³ per atom
Space-group type = P4/mmm, No. 123
Total magnetization = 0.00 μB/atom
E = -4.752 eV per atom
Crystal system = tetragonal
Calculated formation energy = -0.257 eV/atom

Structure (POSCAR):
```
Pm6AlPb
1.0
4.920 0.000 0.000
0.000 4.920 0.000
0.000 0.000 9.836
Pm Al Pb
6 1 1
Cartesian
0.000 0.000 0.000 Pm
0.000 0.000 4.918 Pm
0.000 2.460 2.389 Pm
0.000 2.460 7.447 Pm
2.460 0.000 2.389 Pm
2.460 0.000 7.447 Pm
2.460 2.460 0.000 Al
2.460 2.460 4.918 Pb
```

(11)
# Pm12AlPb3

A relaxed structure of Pm12AlPb3 (PBE, Alexandria).

Values from the calculation:
Theoretical density = 8.22 g/cm³
V = 30.16 Å³ per atom
Space-group type = P4/mmm, No. 123
Total magnetization = 0.00 μB/atom
E = -4.786 eV per atom
Crystal system = tetragonal
Calculated formation energy = -0.294 eV/atom

Structure (POSCAR):
```
Pm12AlPb3
1.0
4.942 0.000 0.000
0.000 4.942 0.000
0.000 0.000 19.759
Pm Al Pb
12 1 3
Cartesian
0.000 0.000 0.000 Pm
0.000 0.000 4.895 Pm
0.000 0.000 9.879 Pm
0.000 0.000 14.864 Pm
0.000 2.471 2.384 Pm
0.000 2.471 7.391 Pm
0.000 2.471 12.368 Pm
0.000 2.471 17.375 Pm
2.471 0.000 2.384 Pm
2.471 0.000 7.391 Pm
2.471 0.000 12.368 Pm
2.471 0.000 17.375 Pm
2.471 2.471 0.000 Al
2.471 2.471 4.880 Pb
2.471 2.471 9.879 Pb
2.471 2.471 14.879 Pb
```

(12)
# Pm4AlPb2

A relaxed structure of Pm4AlPb2 (PBE, Alexandria).

Values from the calculation:
Theoretical density = 6.94 g/cm³
V = 34.92 Å³ per atom
Space-group type = I4/mmm, No. 139
Energy above the most stable polymorph in this dataset = 147.3 meV per atom
Total magnetization = 0.00 μB/atom
E = -4.414 eV per atom
Crystal system = tetragonal
Calculated formation energy = -0.105 eV/atom

Structure (POSCAR):
```
Pm4AlPb2
1.0
-2.696 2.696 8.407
2.696 -2.696 8.407
2.696 2.696 -8.407
Pm Al Pb
4 1 2
Cartesian
2.696 0.000 0.000 Pm
0.000 0.000 3.004 Pm
0.000 2.696 0.000 Pm
0.000 0.000 13.810 Pm
0.000 0.000 0.000 Al
0.000 0.000 6.204 Pb
0.000 0.000 10.610 Pb
```